This record from Alexandria via LeMat-Bulk describes a relaxed Si2AgIr crystal. The functional is PBE-GGA.

The structure in POSCAR format:
```
Si2AgIr
1.0
-1.964 3.622 -1.146
-3.946 1.415 -0.847
-1.206 1.727 4.757
Ag Ir Si
1 1 2
Direct
0.750 0.750 0.750 Ag
0.250 0.250 0.250 Ir
0.987 0.987 0.039 Si
0.513 0.513 0.461 Si
```

As for the relative energy among the computed polymorphs: 2.4 kJ per mole of atoms.

This record from Alexandria via LeMat-Bulk describes a relaxed SiAgIr2 crystal. The functional is PBE-GGA.

The structure in POSCAR format:
```
SiAgIr2
1.0
5.066 0.007 0.039
4.287 2.700 0.039
2.191 0.634 4.484
Ag Ir Si
1 2 1
Direct
0.215 0.215 0.344 Ag
0.020 0.020 0.970 Ir
0.792 0.792 0.792 Ir
0.472 0.472 0.393 Si
```

The calculation puts the uncorrected energy at -25.9 eV/cell.

This record from Alexandria via LeMat-Bulk describes a relaxed Si2AgIr crystal. The functional is PBE-GGA.

The structure in POSCAR format:
```
Si2AgIr
1.0
5.262 -0.007 0.007
2.009 4.864 -0.007
-2.785 -3.701 2.497
Ag Ir Si
1 1 2
Direct
0.750 0.250 0.500 Ag
0.250 0.750 0.500 Ir
0.024 0.024 0.000 Si
0.476 0.476 0.000 Si
```

As for the relative energy among the computed polymorphs: 26.9 kJ per mole of atoms.

This record from Alexandria via LeMat-Bulk describes a relaxed Si2AgIr crystal. The functional is PBE-GGA.

The structure in POSCAR format:
```
Si2AgIr
1.0
4.515 0.014 0.000
-0.021 4.514 0.000
0.000 0.000 2.911
Ag Ir Si
1 1 2
Direct
0.500 0.000 0.500 Ag
0.000 0.500 0.500 Ir
0.000 0.000 0.000 Si
0.500 0.500 0.000 Si
```

As for the relative energy among the computed polymorphs: 24.3 kJ per mole of atoms.

This record from Alexandria via LeMat-Bulk describes a relaxed SiAgIr4 crystal. The functional is PBE-GGA.

The structure in POSCAR format:
```
SiAgIr4
1.0
0.000 3.683 3.683
3.683 0.000 3.683
3.683 3.683 0.000
Si Ag Ir
1 1 4
Direct
0.750 0.750 0.750 Si
0.000 0.000 0.000 Ag
0.874 0.375 0.375 Ir
0.375 0.375 0.874 Ir
0.375 0.874 0.375 Ir
0.375 0.375 0.375 Ir
```

The calculation puts the uncorrected energy at -39.9 eV/cell.

This record from Alexandria via LeMat-Bulk describes a relaxed SiAg2Ir crystal. The functional is PBE-GGA.

The structure in POSCAR format:
```
SiAg2Ir
1.0
4.666 0.059 0.183
3.641 2.919 0.183
1.660 0.595 4.958
Ag Ir Si
2 1 1
Direct
0.969 0.969 0.983 Ag
0.747 0.747 0.762 Ag
0.535 0.535 0.399 Ir
0.249 0.249 0.356 Si
```

The calculation puts the uncorrected energy at -19.7 eV/cell.

This record from Alexandria via LeMat-Bulk describes a relaxed SiAg2Ir crystal. The functional is PBE-GGA.

The structure in POSCAR format:
```
SiAg2Ir
1.0
-0.656 7.254 -5.029
-3.445 6.369 -5.092
-2.477 8.001 -2.863
Ag Ir Si
2 1 1
Direct
0.007 0.007 0.007 Ag
0.247 0.247 0.247 Ag
0.489 0.489 0.489 Ir
0.757 0.757 0.757 Si
```

The calculation puts the uncorrected energy at -20.0 eV/cell.

This record from Alexandria via LeMat-Bulk describes a relaxed SiAg2Ir crystal. The functional is PBE-GGA.

The structure in POSCAR format:
```
SiAg2Ir
1.0
-3.977 2.160 -8.165
-5.331 -0.277 -7.658
-6.302 2.142 -6.546
Ag Ir Si
2 1 1
Direct
0.003 0.003 0.003 Ag
0.497 0.497 0.497 Ag
0.250 0.250 0.250 Ir
0.750 0.750 0.750 Si
```

The calculation puts the uncorrected energy at -18.6 eV/cell.

This record from Alexandria via LeMat-Bulk describes a relaxed Si2AgIr crystal. The functional is PBE-GGA.

The structure in POSCAR format:
```
Si2AgIr
1.0
2.875 0.000 0.000
-1.442 2.488 0.000
0.000 0.000 8.766
Ag Ir Si
1 1 2
Direct
0.500 0.500 0.250 Ag
0.500 0.500 0.750 Ir
0.000 0.000 0.979 Si
0.000 0.000 0.521 Si
```

As for the relative energy among the computed polymorphs: 21.5 kJ per mole of atoms.

This record from Alexandria via LeMat-Bulk describes a relaxed Si2AgIr crystal. The functional is PBE-GGA.

The structure in POSCAR format:
```
Si2AgIr
1.0
6.654 0.039 -0.016
4.957 4.439 0.016
-5.543 -2.921 2.242
Ag Ir Si
1 1 2
Direct
0.443 0.443 0.000 Ag
0.221 0.721 0.500 Ir
0.057 0.057 0.000 Si
0.779 0.279 0.500 Si
```

As for the relative energy among the computed polymorphs: 0.4 kJ per mole of atoms.

This record from Alexandria via LeMat-Bulk describes a relaxed SiAg2Ir crystal. The functional is PBE-GGA.

The structure in POSCAR format:
```
SiAg2Ir
1.0
-1.673 2.004 -1.246
1.062 -1.519 -3.869
-4.048 -3.272 0.173
Ag Ir Si
2 1 1
Direct
0.000 0.000 0.001 Ag
0.000 0.000 0.499 Ag
0.500 0.500 0.250 Ir
0.500 0.500 0.750 Si
```

The calculation puts the uncorrected energy at -18.6 eV/cell.

This record from Alexandria via LeMat-Bulk describes a relaxed Si2AgIr crystal. The functional is PBE-GGA.

The structure in POSCAR format:
```
Si2AgIr
1.0
8.174 -0.047 -0.028
7.653 2.873 -0.028
7.653 1.366 2.527
Ag Ir Si
1 1 2
Direct
0.505 0.505 0.505 Ag
0.737 0.737 0.737 Ir
0.000 0.000 0.000 Si
0.258 0.258 0.258 Si
```

As for the relative energy among the computed polymorphs: 13.2 kJ per mole of atoms.